# Ho8Ag2Au

Crystalline Ho8Ag2Au at its relaxed geometry (PBE-GGA, the Alexandria database).

Values from the calculation:
Formation energy ... -239 meV per atom
VASP energy ... -48.233 eV for the cell shown

Unit cell a=5.156 b=6.871 c=9.217 alpha=105.84 beta=106.24 gamma=90.00
Fractional coordinates of all 11 atoms:
Ho (0.799, 0.679, 0.597)
Ho (0.666, 0.976, 0.331)
Ag (0.183, 0.724, 0.367)
Ho (0.973, 0.223, 0.945)
Ho (0.027, 0.777, 0.055)
Ho (0.201, 0.321, 0.403)
Ho (0.334, 0.024, 0.669)
Ho (0.408, 0.547, 0.816)
Ho (0.592, 0.453, 0.184)
Au (0.500, 0.000, 0.000)
Ag (0.817, 0.276, 0.633)

---

# Cs2YPdCl6

Crystalline Cs2YPdCl6 at its relaxed geometry (PBE-GGA, the Alexandria database).

Values from the calculation:
VASP energy ... -41.679 eV for the cell shown

Unit cell a=7.766 b=7.766 c=7.525 alpha=58.93 beta=58.93 gamma=90.00
Each line ends with the local moment (μB).
Fractional coordinates of all 10 atoms:
Cl (0.241, 0.241, 0.518)  0.04
Cl (0.259, 0.741, 0.000)  0.02
Cl (0.759, 0.759, 0.482)  0.04
Y (0.500, 0.500, 0.000)  0.04
Cs (0.250, 0.750, 0.500)  0.00
Cs (0.750, 0.250, 0.500)  0.00
Cl (0.741, 0.259, 0.000)  0.02
Pd (0.000, 0.000, 0.000)  0.74
Cl (0.741, 0.741, 0.000)  0.02
Cl (0.259, 0.259, 0.000)  0.02

---

# Ga2SeBrCl

Crystalline Ga2SeBrCl at its relaxed geometry (PBE-GGA, the Alexandria database).

Values from the calculation:
VASP energy ... -11.692 eV for the cell shown

Unit cell a=5.789 b=5.119 c=5.789 alpha=90.00 beta=90.00 gamma=90.00
Each line ends with the local moment (μB).
Fractional coordinates of all 5 atoms:
Ga (0.000, 0.000, 0.500)  0.01
Cl (0.000, 0.500, 0.000)  0.01
Ga (0.500, 0.000, 0.000)  0.01
Se (0.500, 0.500, 0.500)  0.47
Br (0.000, 0.000, 0.000)  0.00

---

# ZnCuTe2

Crystalline ZnCuTe2 at its relaxed geometry (PBE-GGA, the Alexandria database).

Values from the calculation:
ΔE to the lowest computed polymorph ... 543 meV/atom
VASP energy ... -10.378 eV for the cell shown

Unit cell a=3.462 b=3.462 c=7.234 alpha=90.00 beta=90.00 gamma=90.00
Fractional coordinates of all 4 atoms:
Te (0.000, 0.000, 0.517)
Cu (0.500, 0.500, 0.750)
Zn (0.500, 0.500, 0.250)
Te (0.000, 0.000, 0.983)

---

# CaHoMg2Tl4

Crystalline CaHoMg2Tl4 at its relaxed geometry (PBE-GGA, the Alexandria database).

Values from the calculation:
Formation energy ... -245 meV per atom
VASP energy ... -21.193 eV for the cell shown

Unit cell a=5.246 b=5.246 c=9.259 alpha=73.54 beta=73.54 gamma=60.00
Fractional coordinates of all 8 atoms:
Tl (0.875, 0.875, 0.374)
Ho (0.500, 0.500, 0.500)
Tl (0.376, 0.376, 0.871)
Tl (0.624, 0.624, 0.129)
Tl (0.125, 0.125, 0.626)
Ca (0.000, 0.000, 0.000)
Mg (0.249, 0.249, 0.252)
Mg (0.751, 0.751, 0.748)

---

# Pu2GaFe3

Crystalline Pu2GaFe3 at its relaxed geometry (PBE-GGA, the Alexandria database).

Values from the calculation:
Formation energy ... -152 meV per atom
VASP energy ... -57.993 eV for the cell shown

Unit cell a=5.190 b=5.190 c=4.909 alpha=99.37 beta=113.19 gamma=118.27
Each line ends with the local moment (μB).
Fractional coordinates of all 6 atoms:
Fe (0.000, 0.000, 0.500)  -1.73
Pu (0.748, 0.389, 0.137)  5.26
Fe (0.500, 0.500, 0.500)  -1.73
Pu (0.252, 0.611, 0.863)  5.26
Ga (0.000, 0.000, 0.000)  0.05
Fe (0.500, 0.000, 0.500)  -2.13

---

# Rb2Cd6Ag

Crystalline Rb2Cd6Ag at its relaxed geometry (PBE-GGA, the Alexandria database).

Values from the calculation:
Formation energy ... -15 meV per atom
VASP energy ... -10.413 eV for the cell shown

Unit cell a=6.779 b=6.754 c=6.754 alpha=60.01 beta=90.01 gamma=90.01
Fractional coordinates of all 9 atoms:
Cd (0.669, 0.173, 0.654)
Ag (0.000, 0.000, 0.000)
Cd (0.331, 0.346, 0.827)
Cd (0.331, 0.827, 0.827)
Cd (0.669, 0.173, 0.173)
Rb (0.144, 0.333, 0.333)
Rb (0.856, 0.667, 0.667)
Cd (0.331, 0.827, 0.346)
Cd (0.669, 0.654, 0.173)

---

# EuCdO2

Crystalline EuCdO2 at its relaxed geometry (PBE-GGA, the Alexandria database).

Values from the calculation:
VASP energy ... -28.612 eV for the cell shown

Unit cell a=3.719 b=3.719 c=6.824 alpha=74.19 beta=74.19 gamma=60.00
Each line ends with the local moment (μB).
Fractional coordinates of all 4 atoms:
O (0.893, 0.893, 0.321)  -0.04
O (0.107, 0.107, 0.679)  -0.04
Cd (0.000, 0.000, 0.000)  0.03
Eu (0.500, 0.500, 0.500)  6.53